Entry from Alexandria: a geometry-optimized Nd5ErZn6 structure (GGA-PBE).

Lattice parameters (Å, degrees): 5.1598 15.5671 7.3261 90.00 90.00 90.00
With the nearest neighbours (Å) after each atom.
Space group Cmmm (No. 65)
Inequivalent atoms, fractional coordinates:
Nd 0.0000 0.0000 0.0000 [2 per cell]  8 Zn 3.15-3.20
Nd 0.0000 0.3312 0.0000 [4 per cell]  8 Zn 3.19-3.24
Nd 0.0000 0.3346 0.5000 [4 per cell]  8 Zn 3.12-3.22
Er 0.0000 0.0000 0.5000 [2 per cell]  8 Zn 3.10-3.12
Zn 0.0000 0.1624 0.2558 [8 per cell]  1 Er 3.10, 7 Nd 3.14-3.23
Zn 0.0000 0.5000 0.2593 [4 per cell]  6 Nd 3.12-3.24, 2 Er 3.12

## Properties
magnetization = 0.0 μB per formula unit
DFT formation energy = -3.7 eV per formula unit